# 1
{
  "formula": "BeCd2Cl",
  "functional": "PBE",
  "state": "optimized geometry",
  "formation_energy_uncorrected_ev_per_atom": 0.10,
  "polymorph_energy_kcal_per_mol_atoms": 6.657,
  "total_magnetization_mub_per_cell": 0.00,
  "cell": [[2.982, 0.000, 0.000], [0.000, 2.982, 0.000], [0.000, 0.000, 9.769]],
  "species": ["Be", "Cd", "Cd", "Cl"],
  "frac_coords": [[0.000, 0.000, 0.000], [0.000, 0.000, 0.476], [0.500, 0.500, 0.209], [0.500, 0.500, 0.883]]
}

# 2
{
  "formula": "LaNd5Dy",
  "functional": "PBE",
  "state": "optimized geometry",
  "ef_ev_per_atom": 0.950,
  "total_magnetization_mub_per_cell": 0.04,
  "cell": [[13.469, 0.000, 0.000], [0.000, 8.799, 0.000], [-2.570, 0.000, 5.308]],
  "species": ["La", "La", "Nd", "Nd", "Nd", "Nd", "Nd", "Nd", "Nd", "Nd", "Nd", "Nd", "Dy", "Dy"],
  "frac_coords": [[0.000, 0.000, 0.000], [0.500, 0.500, 0.000], [0.000, 0.000, 0.500], [0.000, 0.323, 0.000], [0.000, 0.677, 0.000], [0.249, 0.000, 0.249], [0.251, 0.500, 0.751], [0.500, 0.177, 0.000], [0.500, 0.500, 0.500], [0.500, 0.823, 0.000], [0.749, 0.500, 0.249], [0.751, 0.000, 0.751], [0.000, 0.500, 0.500], [0.500, 0.000, 0.500]]
}